No. 1
## TlCdCuW (GGA-PBE)

Data for an optimized crystal structure of TlCdCuW.

POSCAR file:
```
TlCdCuW
1.0
2.047 2.190 3.642
-0.048 4.711 0.249
-2.654 2.163 3.246
Cd Cu Tl W
1 1 1 1
direct
0.500 0.500 0.500
0.750 0.750 0.750
0.000 0.000 0.000
0.250 0.250 0.250
```

energy above the most stable polymorph in this dataset	0.00	eV/f.u.
SG	F-43m



No. 2
## TlZnCdCu (GGA-PBE)

Data for an optimized crystal structure of TlZnCdCu.

POSCAR file:
```
TlZnCdCu
1.0
0.000 3.399 3.399
3.399 0.000 3.399
3.399 3.399 0.000
Cd Cu Tl Zn
1 1 1 1
direct
0.500 0.500 0.500
0.750 0.750 0.750
0.000 0.000 0.000
0.250 0.250 0.250
```

energy above the most stable polymorph in this dataset	0.00	eV/f.u.
SG	F-43m



No. 3
## TlZnCdCu (GGA-PBE)

Data for an optimized crystal structure of TlZnCdCu.

POSCAR file:
```
TlZnCdCu
1.0
0.000 3.413 3.413
3.413 0.000 3.413
3.413 3.413 0.000
Cd Cu Tl Zn
1 1 1 1
direct
0.250 0.250 0.250
0.750 0.750 0.750
0.000 0.000 0.000
0.500 0.500 0.500
```

energy above the most stable polymorph in this dataset	0.17	eV/f.u.
SG	F-43m



No. 4
## ZrTlCdCu (GGA-PBE)

Data for an optimized crystal structure of ZrTlCdCu.

POSCAR file:
```
ZrTlCdCu
1.0
0.000 3.418 3.418
3.418 0.000 3.418
3.418 3.418 0.000
Cd Cu Tl Zr
1 1 1 1
direct
0.250 0.250 0.250
0.750 0.750 0.750
0.000 0.000 0.000
0.500 0.500 0.500
```

energy above the most stable polymorph in this dataset	0.12	eV/f.u.
SG	F-43m



No. 5
## ZrTlCdCu (GGA-PBE)

Data for an optimized crystal structure of ZrTlCdCu.

POSCAR file:
```
ZrTlCdCu
1.0
2.766 -3.919 0.631
-0.842 -3.998 -2.591
3.111 -1.346 -3.452
Cd Cu Tl Zr
1 1 1 1
direct
0.500 0.500 0.500
0.750 0.750 0.750
0.000 0.000 0.000
0.250 0.250 0.250
```

energy above the most stable polymorph in this dataset	0.00	eV/f.u.
SG	F-43m



No. 6
## TmZrCd2Cu4 (GGA-PBE)

Data for an optimized crystal structure of TmZrCd2Cu4.

POSCAR file:
```
TmZrCd2Cu4
1.0
4.585 0.000 0.000
0.000 4.585 0.000
0.000 0.000 6.434
Cd Cu Tm Zr
2 4 1 1
direct
0.500 0.500 0.000
0.000 0.000 0.500
0.500 0.000 0.262
0.000 0.500 0.262
0.500 0.000 0.738
0.000 0.500 0.738
0.000 0.000 0.000
0.500 0.500 0.500
```

energy of formation from the pure elements	-144.5	kJ/mol of formula units
SG	P4/mmm



What did the fifth record say?
## ZrTlCdCu (GGA-PBE)

Data for an optimized crystal structure of ZrTlCdCu.

POSCAR file:
```
ZrTlCdCu
1.0
2.766 -3.919 0.631
-0.842 -3.998 -2.591
3.111 -1.346 -3.452
Cd Cu Tl Zr
1 1 1 1
direct
0.500 0.500 0.500
0.750 0.750 0.750
0.000 0.000 0.000
0.250 0.250 0.250
```

energy above the most stable polymorph in this dataset	0.00	eV/f.u.
SG	F-43m